Below is a crystal of Sr2Mg3 relaxed with PBEsol, with properties calculated at the meta-GGA SCAN level.

CIF file:
```
data_Sr2Mg3
_cell_length_a 6.5613
_cell_length_b 6.5613
_cell_length_c 9.6552
_cell_angle_alpha 100.06
_cell_angle_beta 100.06
_cell_angle_gamma 119.08
_space_group_name_H-M_alt 'P 1'
_space_group_IT_number 1
_space_group_name_Hall 'P 1'
loop_
_atom_site_label
_atom_site_fract_x
_atom_site_fract_y
_atom_site_fract_z
_atom_site_occupancy
Sr1 0.2707 0.6123 0.0988 1
Sr2 0.4219 0.2636 0.4012 1
Sr3 0.8623 0.0207 0.5988 1
Sr4 0.5136 0.1719 0.9012 1
Mg1 0.9318 0.9318 0.0000 1
Mg2 0.9369 0.5921 0.7450 1
Mg3 0.4419 0.5971 0.7550 1
Mg4 0.1818 0.6818 0.5000 1
Mg5 0.8421 0.6869 0.2450 1
Mg6 0.8471 0.1919 0.2550 1
```

Output
Volume, Å³ per cell: 341
Formation energy from the elements, eV per atom: -0.026
Symmetry: Fdd2
DFT total energy, eV per atom: -11.92
M_tot, μB per cell: 0.00